DFT (GGA-PBEsol) results for a relaxed structure of MnRh3.

a = 4.2259 Å, b = 4.6034 Å, c = 5.3134 Å
α = 90.00°, β = 90.00°, γ = 90.00°
Atoms (fractional coordinates):
Rh1 0.0000 0.1701 0.7505
Rh2 0.5000 0.8299 0.7495
Rh3 0.5000 0.8299 0.2505
Rh4 0.0000 0.1701 0.2495
Mn1 0.5000 0.3296 0.5000
Mn2 0.0000 0.6704 0.0000
Rh5 0.0000 0.6609 0.5000
Rh6 0.5000 0.3391 0.0000

Results
The space-group type is No. 59. The calculation puts the calculated volume at 12.92 Å³/atom. The calculation puts the formation energy at -0.04 eV per atom.